[1]
The following is a DFT calculation (PBE-GGA) of PuScOs4 after structural relaxation.

Cell lengths 7.482, 7.482, 7.482 Å; angles 90.00, 90.00, 90.00 degrees
Space group F-43m (No. 216)
Inequivalent atoms, fractional coordinates:
Pu1 0.000 0.000 0.000 [4 per cell]
Sc1 0.250 0.250 0.750 [4 per cell]
Os1 0.125 0.125 0.375 [16 per cell]

Output
Energy relative to the elements in eV/atom: -0.2008
Crystal system: cubic



[2]
The following is a DFT calculation (PBE-GGA) of La2Sm4Al after structural relaxation.

Cell lengths 3.6758, 3.6758, 59.4266 Å; angles 90.00, 90.00, 120.00 degrees
Space group R-3m (No. 166, hexagonal axes)
Inequivalent atoms, fractional coordinates:
La1 0.0000 0.0000 0.1937 [6 per cell]
Sm1 0.0000 0.0000 0.0890 [6 per cell]
Sm2 0.0000 0.0000 0.2951 [6 per cell]
Al1 0.0000 0.0000 0.0000 [3 per cell]

Output
Energy relative to the elements in eV/atom: -0.0121
Crystal system: trigonal



[3]
The following is a DFT calculation (PBE-GGA) of LiNbFeTe after structural relaxation.

Cell lengths 3.205, 3.162, 14.515 Å; angles 90.00, 90.00, 90.00 degrees
Space group Amm2 (No. 38)
Inequivalent atoms, fractional coordinates:
Li1 0.000 0.000 0.000 [2 per cell]
Nb1 0.000 0.000 0.200 [2 per cell]
Fe1 0.500 0.000 0.619 [2 per cell]
Te1 0.500 0.000 0.369 [2 per cell]

Output
Raw formation energy in eV per formula unit: 0.3
Crystal system: orthorhombic



[4]
The following is a DFT calculation (PBE-GGA) of LiPuIn2 after structural relaxation.

Cell lengths 5.548, 5.548, 3.219 Å; angles 90.00, 90.00, 90.00 degrees
Space group P4/mmm (No. 123)
Inequivalent atoms, fractional coordinates:
Li1 0.000 0.000 0.000 [1 per cell]
Pu1 0.500 0.500 0.000 [1 per cell]
In1 0.000 0.500 0.500 [2 per cell]

Output
Energy relative to the elements in eV/atom: -0.1442
Crystal system: tetragonal



[5]
The following is a DFT calculation (PBE-GGA) of SrO after structural relaxation.

Cell lengths 8.532, 8.532, 5.151 Å; angles 90.00, 90.00, 90.00 degrees
Space group I4/mcm (No. 140)
Inequivalent atoms, fractional coordinates:
Sr1 0.148 0.352 0.000 [8 per cell]
O1 0.145 0.355 0.500 [8 per cell]

Output
Raw formation energy in eV per formula unit: -5.2
Crystal system: tetragonal



[6]
The following is a DFT calculation (PBE-GGA) of CeZnGaSn after structural relaxation.

Cell lengths 4.408, 4.426, 4.563 Å; angles 90.00, 90.00, 90.00 degrees
Space group Pmmm (No. 47)
Inequivalent atoms, fractional coordinates:
Ce1 0.000 0.000 0.000 [1 per cell]
Zn1 0.000 0.500 0.500 [1 per cell]
Ga1 0.500 0.500 0.000 [1 per cell]
Sn1 0.500 0.000 0.500 [1 per cell]

Output
Energy relative to the elements in eV/atom: -0.4334
Crystal system: orthorhombic



[7]
The following is a DFT calculation (PBE-GGA) of ScCoTc2 after structural relaxation.

Cell lengths 3.649, 3.649, 4.467 Å; angles 90.00, 90.00, 90.00 degrees
Space group P4/mmm (No. 123)
Inequivalent atoms, fractional coordinates:
Sc1 0.000 0.000 0.000 [1 per cell]
Co1 0.500 0.500 0.000 [1 per cell]
Tc1 0.000 0.500 0.500 [2 per cell]

Output
Energy relative to the elements in eV/atom: 0.0439
Crystal system: tetragonal



[8]
The following is a DFT calculation (PBE-GGA) of CoSb2Pb after structural relaxation.

Cell lengths 6.250, 6.250, 12.460 Å; angles 90.00, 90.00, 90.00 degrees
Space group I-42d (No. 122)
Inequivalent atoms, fractional coordinates:
Co1 0.000 0.000 0.000 [4 per cell]
Sb1 0.163 0.250 0.125 [8 per cell]
Pb1 0.000 0.000 0.500 [4 per cell]

Output
Raw formation energy in eV per formula unit: 0.8
Crystal system: tetragonal



| no. | DFT total energy (eV per cell) | DOS(E_F) (states/eV/atom) |
| --- | --- | --- |
| 1 | -267.149 | 0.868 |
| 2 | -97.677 | 1.443 |
| 3 | -46.549 | 0.670 |
| 4 | -22.299 | 2.626 |
| 5 | -95.117 | 0.000 |
| 6 | -15.971 | 1.188 |
| 7 | -33.994 | 1.091 |
| 8 | -72.966 | 0.854 |